VASP calculation (PBE) on an optimized crystal structure of CaMgCdGe.

a = 5.072 Å, b = 5.072 Å, c = 5.072 Å
α = 60.00°, β = 60.00°, γ = 60.00°
Fractional coordinates of all 4 atoms:
Mg: 0.250 0.250 0.250
Ge: 0.000 0.000 0.000
Ca: 0.750 0.750 0.750
Cd: 0.500 0.500 0.500

Properties
**SG**: F-43m (216)
**M_tot**: 0.0 Bohr magnetons per cell
**E**: -2.5944 eV/atom
**ΔE_f**: -312 meV per atom